A plane-wave DFT calculation with PBEsol was carried out for a geometry-optimized CdHg3 structure.

Calculated values
Total energy (eV/atom): -0.714
Energy of formation (eV/f.u.): 0.04
ΔE to the lowest computed polymorph (eV/atom): 0.0122

Cell and atoms, written as CIF:
```
data_CdHg3
_symmetry_space_group_name_H-M 'P m -3 m'
_symmetry_Int_Tables_number 221
_symmetry_space_group_name_Hall '-P 4 2 3'
_cell_length_a 4.453
_cell_length_b 4.453
_cell_length_c 4.453
_cell_angle_alpha 90.00
_cell_angle_beta 90.00
_cell_angle_gamma 90.00
loop_
_atom_site_label
_atom_site_type_symbol
_atom_site_fract_x
_atom_site_fract_y
_atom_site_fract_z
Cd1 Cd 0.000 0.000 0.000
Hg1 Hg 0.000 0.500 0.500
```